No. 1
GaCoB2: optimized geometry, GGA-PBE.

Symmetry: F-43m
Mass density, g cm⁻³: 6.53
Total DFT energy (no corrections), eV/f.u.: -19.19

Cell lengths 3.780, 3.780, 3.780 Å; angles 60.00, 60.00, 60.00 degrees
Element x y z (fractional)
Ga: 0.000 0.000 0.000
Co: 0.250 0.250 0.250
B: 0.500 0.500 0.500
B: 0.750 0.750 0.750

---

No. 2
Pm2Pt: optimized geometry, GGA-PBE.

Symmetry: Fm-3m
Mass density, g cm⁻³: 9.29
Energy relative to the elements, meV/atom: -733
Total DFT energy (no corrections), eV/f.u.: -17.74

Cell lengths 4.968, 4.968, 4.968 Å; angles 60.00, 60.00, 60.00 degrees
Element x y z (fractional)
Pm: 0.250 0.250 0.250
Pm: 0.750 0.750 0.750
Pt: 0.000 0.000 0.000

---

No. 3
PrDyU: optimized geometry, GGA-PBE.

Symmetry: F-43m
Mass density, g cm⁻³: 8.63
Energy relative to the elements, meV/atom: 1254
Total DFT energy (no corrections), eV/f.u.: -16.91

Cell lengths 5.281, 5.281, 5.281 Å; angles 60.00, 60.00, 60.00 degrees
Element x y z (fractional)
Pr: 0.000 0.000 0.000
Dy: 0.500 0.500 0.500
U: 0.750 0.750 0.750